# BaGa2Ag6 | Alexandria via LeMat-Bulk | PBE | optimized geometry
# symmetry: P4/mmm
# energy: -2.93 eV/atom
# energy of formation from the pure elements: -0.14 eV/atom
data_BaGa2Ag6
_chemical_formula_sum 'Ba1 Ga2 Ag6'
_space_group_name_H-M_alt 'P 1'
_space_group_IT_number 1
_cell_length_a 4.6238
_cell_length_b 4.6238
_cell_length_c 8.9648
_cell_angle_alpha 90.00
_cell_angle_beta 90.00
_cell_angle_gamma 90.00
loop_
_space_group_symop_operation_xyz
'x,y,z'
loop_
_atom_site_label
_atom_site_type_symbol
_atom_site_fract_x
_atom_site_fract_y
_atom_site_fract_z
_atom_site_occupancy
Ba1 Ba 0.0000 0.0000 0.0000 1
Ga1 Ga 0.5000 0.5000 0.1535 1
Ga2 Ga 0.5000 0.5000 0.8465 1
Ag1 Ag 0.0000 0.5000 0.3061 1
Ag2 Ag 0.5000 0.0000 0.3061 1
Ag3 Ag 0.0000 0.5000 0.6939 1
Ag4 Ag 0.5000 0.0000 0.6939 1
Ag5 Ag 0.5000 0.5000 0.5000 1
Ag6 Ag 0.0000 0.0000 0.5000 1

# BaGa2Ag5 | Alexandria via LeMat-Bulk | PBE | optimized geometry
# symmetry: Immm
# energy: -2.92 eV/atom
# energy of formation from the pure elements: -0.14 eV/atom
data_BaGa2Ag5
_chemical_formula_sum 'Ba1 Ga2 Ag5'
_space_group_name_H-M_alt 'P 1'
_space_group_IT_number 1
_cell_length_a 4.3986
_cell_length_b 6.8582
_cell_length_c 6.8582
_cell_angle_alpha 67.77
_cell_angle_beta 71.30
_cell_angle_gamma 71.30
loop_
_space_group_symop_operation_xyz
'x,y,z'
loop_
_atom_site_label
_atom_site_type_symbol
_atom_site_fract_x
_atom_site_fract_y
_atom_site_fract_z
_atom_site_occupancy
Ba1 Ba 0.0000 0.0000 0.0000 1
Ga1 Ga 0.7500 0.7500 0.7500 1
Ga2 Ga 0.2500 0.2500 0.2500 1
Ag1 Ag 0.0000 0.5000 0.5000 1
Ag2 Ag 0.6472 0.5377 0.1679 1
Ag3 Ag 0.3528 0.4623 0.8320 1
Ag4 Ag 0.3528 0.8320 0.4623 1
Ag5 Ag 0.6472 0.1679 0.5377 1

# BaGdGaAg | Alexandria via LeMat-Bulk | PBE | optimized geometry
# symmetry: F-43m
# energy: -5.70 eV/atom
# energy of formation from the pure elements: -0.23 eV/atom
data_BaGdGaAg
_chemical_formula_sum 'Ba1 Gd1 Ga1 Ag1'
_space_group_name_H-M_alt 'P 1'
_space_group_IT_number 1
_cell_length_a 5.4739
_cell_length_b 5.4739
_cell_length_c 5.4739
_cell_angle_alpha 60.00
_cell_angle_beta 60.00
_cell_angle_gamma 60.00
loop_
_space_group_symop_operation_xyz
'x,y,z'
loop_
_atom_site_label
_atom_site_type_symbol
_atom_site_fract_x
_atom_site_fract_y
_atom_site_fract_z
_atom_site_occupancy
Ga1 Ga 0.7500 0.7500 0.7500 1
Gd1 Gd 0.0000 0.0000 0.0000 1
Ba1 Ba 0.5000 0.5000 0.5000 1
Ag1 Ag 0.2500 0.2500 0.2500 1

energy of formation from the pure elements of number 3 (BaGdGaAg)? -0.23 eV/atom

What did the second record say?
# BaGa2Ag5 | Alexandria via LeMat-Bulk | PBE | optimized geometry
# symmetry: Immm
# energy: -2.92 eV/atom
# energy of formation from the pure elements: -0.14 eV/atom
data_BaGa2Ag5
_chemical_formula_sum 'Ba1 Ga2 Ag5'
_space_group_name_H-M_alt 'P 1'
_space_group_IT_number 1
_cell_length_a 4.3986
_cell_length_b 6.8582
_cell_length_c 6.8582
_cell_angle_alpha 67.77
_cell_angle_beta 71.30
_cell_angle_gamma 71.30
loop_
_space_group_symop_operation_xyz
'x,y,z'
loop_
_atom_site_label
_atom_site_type_symbol
_atom_site_fract_x
_atom_site_fract_y
_atom_site_fract_z
_atom_site_occupancy
Ba1 Ba 0.0000 0.0000 0.0000 1
Ga1 Ga 0.7500 0.7500 0.7500 1
Ga2 Ga 0.2500 0.2500 0.2500 1
Ag1 Ag 0.0000 0.5000 0.5000 1
Ag2 Ag 0.6472 0.5377 0.1679 1
Ag3 Ag 0.3528 0.4623 0.8320 1
Ag4 Ag 0.3528 0.8320 0.4623 1
Ag5 Ag 0.6472 0.1679 0.5377 1

Look up the energy of the third one. -5.70 eV/atom

Please write out number 3 again, unchanged.
# BaGdGaAg | Alexandria via LeMat-Bulk | PBE | optimized geometry
# symmetry: F-43m
# energy: -5.70 eV/atom
# energy of formation from the pure elements: -0.23 eV/atom
data_BaGdGaAg
_chemical_formula_sum 'Ba1 Gd1 Ga1 Ag1'
_space_group_name_H-M_alt 'P 1'
_space_group_IT_number 1
_cell_length_a 5.4739
_cell_length_b 5.4739
_cell_length_c 5.4739
_cell_angle_alpha 60.00
_cell_angle_beta 60.00
_cell_angle_gamma 60.00
loop_
_space_group_symop_operation_xyz
'x,y,z'
loop_
_atom_site_label
_atom_site_type_symbol
_atom_site_fract_x
_atom_site_fract_y
_atom_site_fract_z
_atom_site_occupancy
Ga1 Ga 0.7500 0.7500 0.7500 1
Gd1 Gd 0.0000 0.0000 0.0000 1
Ba1 Ba 0.5000 0.5000 0.5000 1
Ag1 Ag 0.2500 0.2500 0.2500 1